First-principles (PBE with a Hubbard U) data for an optimized crystal structure of WO, as listed in Alexandria via LeMat-Bulk.

The structure in extended XYZ format:
```
16
Lattice="-1.7341 5.9647 2.4467 -3.8336 -2.9911 4.5748 5.1835 -0.2167 4.2020" Properties=species:S:1:pos:R:3 pbc="T T T"
W 3.6834 0.2284 4.5954
W -2.8175 -1.7718 4.8641
W -0.1385 0.9938 4.0458
W -1.3038 4.6850 3.3299
W -1.6922 1.8236 6.0051
W -0.3307 2.3723 9.6576
W 0.2381 0.0987 6.4949
W 0.8240 2.5978 5.9011
O -0.0688 0.4934 2.0086
O -0.2609 1.8719 7.6204
O 1.7319 0.8075 5.1072
O -1.4955 -0.1855 5.2406
O -0.7441 3.0200 4.4789
O -3.6437 2.4027 6.5169
O 0.7979 -1.5662 7.6439
O 2.1459 4.1841 6.2776
```

Space-group type: I-43m
Uncorrected energy, Ry per atom: -0.418
Total moment, μB/atom: 0.0000